[1]
## Nd2FeMoN5 (PBE-GGA)

Data for a geometry-optimized Nd2FeMoN5 structure.

Cell: 3.2422 7.2699 10.1015 Å, 90.00 90.00 102.88°
Last column: magnetic moment on the atom in μB.
Positions (direct):
N 0.0283 0.0566 0.0146  0.00
Fe 0.4476 0.8952 0.4491  0.32
Nd 0.1189 0.2377 0.6978  0.00
Fe 0.5524 0.1048 0.9491  0.32
N 0.5030 0.0060 0.7834  0.03
N 0.6771 0.3542 0.8800  0.00
Mo 0.7926 0.5851 0.5209  0.09
Nd 0.1252 0.2505 0.3170  0.01
N 0.3229 0.6458 0.3800  0.00
Mo 0.2074 0.4149 0.0209  0.09
Nd 0.8811 0.7623 0.1978  0.00
N 0.3354 0.6707 0.0051  0.00
N 0.3035 0.6070 0.6559  0.01
N 0.6965 0.3930 0.1559  0.01
N 0.6646 0.3293 0.5051  0.00
N 0.4970 0.9940 0.2834  0.03
Nd 0.8748 0.7495 0.8170  0.01
N 0.9717 0.9434 0.5146  0.00

energy = -8.5166 eV per atom

=====

[2]
## NdFe10Mo2N (PBE-GGA)

Data for a geometry-optimized NdFe10Mo2N structure.

Cell: 6.5899 6.5899 6.5899 Å, 136.77 98.10 97.50°
Last column: magnetic moment on the atom in μB.
Positions (direct):
Fe 0.5000 0.5000 0.5000  2.17
Fe 0.2205 0.7205 0.5000  2.13
Nd 0.0000 0.0000 0.0000  -0.15
Fe 0.0000 0.5000 0.0000  2.17
Mo 0.6400 0.0000 0.6400  -0.49
Fe 0.2231 0.5000 0.7231  1.86
Fe 0.7769 0.5000 0.2769  1.86
Fe 0.3612 0.3612 0.0000  2.56
Fe 0.0000 0.0000 0.5000  2.17
Mo 0.3600 0.0000 0.3600  -0.49
N 0.0000 0.5000 0.5000  0.09
Fe 0.5000 0.0000 0.0000  2.17
Fe 0.6388 0.6388 0.0000  2.56
Fe 0.7795 0.2795 0.5000  2.13

energy = -8.5923 eV per atom

=====

[3]
## FeNiMo2N (PBE-GGA)

Data for a geometry-optimized FeNiMo2N structure.

Cell: 4.0668 4.0668 3.7306 Å, 90.00 90.00 90.00°
Last column: magnetic moment on the atom in μB.
Positions (direct):
Ni 0.5000 0.5000 0.5000  0.12
Mo 0.0000 0.5000 0.0000  -0.05
Mo 0.5000 0.0000 0.0000  -0.05
N 0.0000 0.0000 0.0000  0.00
Fe 0.0000 0.0000 0.5000  1.74

energy = -8.8962 eV per atom

=====

[4]
## FeNiMo3N (PBE-GGA)

Data for a geometry-optimized FeNiMo3N structure.

Cell: 6.6949 6.6949 6.6949 Å, 90.00 90.00 90.00°
Last column: magnetic moment on the atom in μB.
Positions (direct):
N 0.3759 0.3759 0.3759  0.01
N 0.6241 0.8759 0.1241  0.01
Mo 0.1283 0.2006 0.4546  -0.08
Mo 0.3717 0.7994 0.9546  -0.08
Fe 0.8228 0.3228 0.1772  2.32
Mo 0.2994 0.5454 0.6283  -0.08
Mo 0.2006 0.4546 0.1283  -0.08
Ni 0.9335 0.5665 0.4335  0.21
Ni 0.4335 0.9335 0.5665  0.21
Ni 0.5665 0.4335 0.9335  0.21
Mo 0.8717 0.7006 0.0454  -0.08
Mo 0.4546 0.1283 0.2006  -0.08
Mo 0.7994 0.9546 0.3717  -0.08
Fe 0.3228 0.1772 0.8228  2.32
Mo 0.7006 0.0454 0.8717  -0.08
Fe 0.6772 0.6772 0.6772  2.32
Mo 0.9546 0.3717 0.7994  -0.08
Fe 0.1772 0.8228 0.3228  2.32
N 0.8759 0.1241 0.6241  0.01
N 0.1241 0.6241 0.8759  0.01
Mo 0.6283 0.2994 0.5454  -0.08
Mo 0.5454 0.6283 0.2994  -0.08
Mo 0.0454 0.8717 0.7006  -0.08
Ni 0.0665 0.0665 0.0665  0.21

energy = -9.3818 eV per atom